A geometry-optimized Tl2CrGeBr6 structure, computed with GGA-PBE.

Formation energy without anion corrections ... -6.147 eV/f.u.
Calculated total energy ... -3.516 eV/atom
Calculated volume ... 31.49 Å³ per atom

POSCAR file:
```
Tl2CrGeBr6
1.0
6.530 0.000 0.657
0.000 7.391 0.000
-2.129 -3.695 6.312
Tl Br Ge Cr
2 6 1 1
Cartesian
3.874 3.695 4.169
0.527 0.000 2.799
-0.485 1.805 5.446
1.017 3.695 2.306
4.885 5.500 1.522
4.885 1.890 1.522
-0.485 -1.805 5.446
3.383 0.000 4.663
3.265 0.000 0.328
0.000 3.695 0.000
```

A geometry-optimized ZnCrGeBr2 structure, computed with GGA-PBE.

Formation energy without anion corrections ... 0.881 eV/f.u.
Calculated total energy ... -3.596 eV/atom
Calculated volume ... 26.02 Å³ per atom

POSCAR file:
```
ZnCrGeBr2
1.0
5.069 0.000 0.000
0.000 5.065 0.000
0.000 0.000 5.069
Cr Br Zn Ge
1 2 1 1
Cartesian
0.000 0.000 0.000
2.534 0.000 0.000
0.000 0.000 2.534
2.534 2.532 2.534
0.000 2.532 0.000
```

Please write out number 1 again, unchanged.
A geometry-optimized Tl2CrGeBr6 structure, computed with GGA-PBE.

Formation energy without anion corrections ... -6.147 eV/f.u.
Calculated total energy ... -3.516 eV/atom
Calculated volume ... 31.49 Å³ per atom

POSCAR file:
```
Tl2CrGeBr6
1.0
6.530 0.000 0.657
0.000 7.391 0.000
-2.129 -3.695 6.312
Tl Br Ge Cr
2 6 1 1
Cartesian
3.874 3.695 4.169
0.527 0.000 2.799
-0.485 1.805 5.446
1.017 3.695 2.306
4.885 5.500 1.522
4.885 1.890 1.522
-0.485 -1.805 5.446
3.383 0.000 4.663
3.265 0.000 0.328
0.000 3.695 0.000
```

What did the second record say?
A geometry-optimized ZnCrGeBr2 structure, computed with GGA-PBE.

Formation energy without anion corrections ... 0.881 eV/f.u.
Calculated total energy ... -3.596 eV/atom
Calculated volume ... 26.02 Å³ per atom

POSCAR file:
```
ZnCrGeBr2
1.0
5.069 0.000 0.000
0.000 5.065 0.000
0.000 0.000 5.069
Cr Br Zn Ge
1 2 1 1
Cartesian
0.000 0.000 0.000
2.534 0.000 0.000
0.000 0.000 2.534
2.534 2.532 2.534
0.000 2.532 0.000
```

What did the second record say?
A geometry-optimized ZnCrGeBr2 structure, computed with GGA-PBE.

Formation energy without anion corrections ... 0.881 eV/f.u.
Calculated total energy ... -3.596 eV/atom
Calculated volume ... 26.02 Å³ per atom

POSCAR file:
```
ZnCrGeBr2
1.0
5.069 0.000 0.000
0.000 5.065 0.000
0.000 0.000 5.069
Cr Br Zn Ge
1 2 1 1
Cartesian
0.000 0.000 0.000
2.534 0.000 0.000
0.000 0.000 2.534
2.534 2.532 2.534
0.000 2.532 0.000
```